DFT (GGA-PBE) results for Sm2Y3Mg after structural relaxation.

Computed properties:
- polymorph energy (0 for the lowest one) (meV/atom) = 0
- E (eV/cell) = -30.56
- M_tot (μB per formula unit) = 0.0
- ΔE_f (kJ/mol of atoms) = -2

```
Sm2Y3Mg
1.0
3.6184 0.0000 0.0000
0.0000 3.6184 0.0000
0.0000 0.0000 14.3271
Sm Y Mg
2 3 1
direct
0.0000 0.0000 0.1775
0.0000 0.0000 0.8225
0.5000 0.5000 0.0000
0.5000 0.5000 0.3517
0.5000 0.5000 0.6483
0.0000 0.0000 0.5000
```


DFT (GGA-PBE) results for TaCo2Br after structural relaxation.

Computed properties:
- polymorph energy (0 for the lowest one) (meV/atom) = 515
- E_form (uncorrected) (meV/atom) = 659
- E (eV/cell) = -50.20
- M_tot (μB per formula unit) = 1.9

```
TaCo2Br
1.0
5.2387 0.0000 0.0000
0.0000 7.4108 0.0000
0.0000 0.0000 3.0486
Ta Co Br
2 4 2
direct
0.0000 0.0000 0.0000
0.5000 0.5000 0.0000
0.2500 0.2500 0.5000
0.2500 0.7500 0.5000
0.7500 0.2500 0.5000
0.7500 0.7500 0.5000
0.0000 0.5000 0.0000
0.5000 0.0000 0.0000
```


DFT (GGA-PBE) results for Y2TeOs after structural relaxation.

Computed properties:
- E_form (uncorrected) (meV/atom) = -400
- E (eV/cell) = -57.80
- M_tot (μB per formula unit) = 0.0

```
Y2TeOs
1.0
7.0025 0.0000 0.0000
0.0000 7.3661 0.0000
0.0000 0.0000 3.6296
Y Te Os
4 2 2
direct
0.2500 0.2500 0.0000
0.2500 0.7500 0.0000
0.7500 0.2500 0.0000
0.7500 0.7500 0.0000
0.0000 0.0000 0.5000
0.5000 0.5000 0.5000
0.0000 0.5000 0.5000
0.5000 0.0000 0.5000
```